Entry 1:
This record from Alexandria via LeMat-Bulk describes an optimized crystal structure of MgSc2Sb. The functional is PBE-GGA.

extended XYZ file:
```
8
Lattice="-3.9991 3.9991 3.1718 3.9991 -3.9991 3.1718 3.9991 3.9991 -3.1718" Properties=species:S:1:pos:R:3 pbc="T T T"
Mg 0.0000 0.0000 0.0000
Mg 0.0000 3.9991 1.5859
Sc 1.9996 -1.8805 2.3789
Sc 2.1186 1.9996 0.7930
Sc 1.9996 5.8796 -0.7930
Sc 1.8805 1.9996 3.9648
Sb 3.9991 0.0000 1.5859
Sb 0.0000 0.0000 3.1718
```

formation energy without anion corrections: -0.4 eV per formula unit
size of the total moment: 0.13 Bohr magnetons per cell
E above lowest polymorph: 0.3634 eV/atom
crystal system: tetragonal
symmetry: I-42d

Entry 2:
This record from Alexandria via LeMat-Bulk describes an optimized crystal structure of Mg5Sc6Sb. The functional is PBE-GGA.

extended XYZ file:
```
12
Lattice="2.5427 -7.6447 0.0000 2.5427 7.6447 0.0000 0.0000 0.0000 7.0210" Properties=species:S:1:pos:R:3 pbc="T T T"
Mg 0.0000 0.0000 0.0000
Mg 2.5427 2.6621 3.5105
Mg 2.5427 2.5260 0.0000
Mg 2.5427 -2.5260 0.0000
Mg 2.5427 -2.6621 3.5105
Sc 2.5427 5.1011 1.7323
Sc 2.5427 5.1011 5.2887
Sc 2.5427 0.0000 1.7706
Sc 2.5427 0.0000 5.2504
Sc 2.5427 -5.1011 1.7323
Sc 2.5427 -5.1011 5.2887
Sb 0.0000 0.0000 3.5105
```

formation energy without anion corrections: -2.3 eV per formula unit
size of the total moment: 0.00 Bohr magnetons per cell
crystal system: orthorhombic
symmetry: Cmmm

Entry 3:
This record from Alexandria via LeMat-Bulk describes an optimized crystal structure of MgSc2Sb. The functional is PBE-GGA.

extended XYZ file:
```
4
Lattice="3.1398 -4.2833 0.0000 3.1398 4.2833 0.0000 0.0000 0.0000 3.3721" Properties=species:S:1:pos:R:3 pbc="T T T"
Mg 0.0000 0.0000 0.0000
Sc 1.5699 2.1416 1.6860
Sc 1.5699 -2.1416 1.6860
Sb 3.1398 0.0000 0.0000
```

formation energy without anion corrections: -1.5 eV per formula unit
size of the total moment: 0.70 Bohr magnetons per cell
E above lowest polymorph: 0.1029 eV/atom
crystal system: orthorhombic
symmetry: Cmmm

Entry 4:
This record from Alexandria via LeMat-Bulk describes an optimized crystal structure of MgSc2Sb. The functional is PBE-GGA.

extended XYZ file:
```
4
Lattice="0.0000 3.5837 3.5837 3.5837 0.0000 3.5837 3.5837 3.5837 0.0000" Properties=species:S:1:pos:R:3 pbc="T T T"
Mg 0.0000 0.0000 0.0000
Sc 3.5837 3.5837 3.5837
Sc 5.3755 5.3755 5.3755
Sb 1.7918 1.7918 1.7918
```

formation energy without anion corrections: -0.2 eV per formula unit
size of the total moment: 0.01 Bohr magnetons per cell
E above lowest polymorph: 0.4278 eV/atom
crystal system: cubic
symmetry: F-43m

Entry 5:
This record from Alexandria via LeMat-Bulk describes an optimized crystal structure of MgSc2Sb. The functional is PBE-GGA.

extended XYZ file:
```
4
Lattice="3.9310 0.0000 0.0000 0.0000 3.9310 0.0000 0.0000 0.0000 6.1032" Properties=species:S:1:pos:R:3 pbc="T T T"
Mg 0.0000 0.0000 0.0000
Sc 0.0000 0.0000 3.0351
Sc 1.9655 1.9655 4.6742
Sb 1.9655 1.9655 1.6953
```

formation energy without anion corrections: -1.5 eV per formula unit
size of the total moment: 0.00 Bohr magnetons per cell
E above lowest polymorph: 0.0972 eV/atom
crystal system: tetragonal
symmetry: P4mm

Entry 6:
This record from Alexandria via LeMat-Bulk describes an optimized crystal structure of MgSc2Sb. The functional is PBE-GGA.

extended XYZ file:
```
4
Lattice="-2.1178 2.1178 5.0767 2.1178 -2.1178 5.0767 2.1178 2.1178 -5.0767" Properties=species:S:1:pos:R:3 pbc="T T T"
Mg 0.0000 0.0000 0.0000
Sc 0.0000 0.0000 5.0767
Sc 0.0000 2.1178 2.5384
Sb 2.1178 0.0000 2.5384
```

formation energy without anion corrections: -1.8 eV per formula unit
size of the total moment: 0.00 Bohr magnetons per cell
E above lowest polymorph: 0.0113 eV/atom
crystal system: tetragonal
symmetry: I-4m2

Entry 7:
This record from Alexandria via LeMat-Bulk describes an optimized crystal structure of MgSc2Sb. The functional is PBE-GGA.

extended XYZ file:
```
4
Lattice="2.2029 1.2718 6.3822 -2.2029 1.2718 6.3822 0.0000 -2.5436 6.3822" Properties=species:S:1:pos:R:3 pbc="T T T"
Mg 0.0000 0.0000 0.0000
Sc 0.0000 0.0000 4.5163
Sc 0.0000 0.0000 8.1729
Sb 0.0000 0.0000 15.9302
```

formation energy without anion corrections: -1.1 eV per formula unit
size of the total moment: 0.00 Bohr magnetons per cell
E above lowest polymorph: 0.2075 eV/atom
crystal system: trigonal
symmetry: R3m

Entry 8:
This record from Alexandria via LeMat-Bulk describes an optimized crystal structure of MgSc2Sb. The functional is PBE-GGA.

extended XYZ file:
```
4
Lattice="5.1410 0.0000 0.0000 0.0000 3.4366 0.0000 -2.3181 0.0000 5.3879" Properties=species:S:1:pos:R:3 pbc="T T T"
Mg 0.0000 0.0000 0.0000
Sc 1.4115 0.0000 2.6939
Sc 2.5705 1.7183 0.0000
Sb -1.1590 1.7183 2.6939
```

formation energy without anion corrections: -1.1 eV per formula unit
size of the total moment: 0.00 Bohr magnetons per cell
E above lowest polymorph: 0.1867 eV/atom
crystal system: monoclinic
symmetry: P2/m

Entry 9:
This record from Alexandria via LeMat-Bulk describes an optimized crystal structure of MgSc6Sb. The functional is PBE-GGA.

extended XYZ file:
```
8
Lattice="2.5325 1.4621 8.3964 -2.5325 1.4621 8.3964 0.0000 -2.9242 8.3964" Properties=species:S:1:pos:R:3 pbc="T T T"
Mg 0.0000 0.0000 0.0000
Sc 0.0000 0.0000 3.1961
Sc 0.0000 0.0000 6.6027
Sc 0.0000 0.0000 9.6321
Sc 0.0000 0.0000 15.5572
Sc 0.0000 0.0000 18.5866
Sc 0.0000 0.0000 21.9932
Sb 0.0000 0.0000 12.5946
```

formation energy without anion corrections: -0.9 eV per formula unit
size of the total moment: 0.00 Bohr magnetons per cell
crystal system: trigonal
symmetry: R-3m

Entry 10:
This record from Alexandria via LeMat-Bulk describes an optimized crystal structure of MgSc4Sb. The functional is PBE-GGA.

extended XYZ file:
```
6
Lattice="0.0000 4.1951 4.1951 4.1951 0.0000 4.1951 4.1951 4.1951 0.0000" Properties=species:S:1:pos:R:3 pbc="T T T"
Mg 0.0000 0.0000 0.0000
Sc 3.1443 3.1443 3.1443
Sc 5.2459 5.2459 3.1443
Sc 5.2459 3.1443 5.2459
Sc 3.1443 5.2459 5.2459
Sb 6.2926 6.2926 6.2926
```

formation energy without anion corrections: 0.5 eV per formula unit
size of the total moment: 0.01 Bohr magnetons per cell
crystal system: cubic
symmetry: F-43m

Entry 11:
This record from Alexandria via LeMat-Bulk describes an optimized crystal structure of MgSc2Sb. The functional is PBE-GGA.

extended XYZ file:
```
4
Lattice="-2.1996 2.1996 4.5969 2.1996 -2.1996 4.5969 2.1996 2.1996 -4.5969" Properties=species:S:1:pos:R:3 pbc="T T T"
Mg 0.0000 0.0000 0.0000
Sc 2.1996 0.0000 2.2985
Sc 0.0000 2.1996 2.2985
Sb 0.0000 0.0000 4.5969
```

formation energy without anion corrections: -1.8 eV per formula unit
size of the total moment: 1.13 Bohr magnetons per cell
E above lowest polymorph: 0.0175 eV/atom
crystal system: tetragonal
symmetry: I4/mmm

Entry 12:
This record from Alexandria via LeMat-Bulk describes an optimized crystal structure of MgSc4Sb5. The functional is PBE-GGA.

extended XYZ file:
```
10
Lattice="-2.0867 2.9494 10.4999 2.0867 -2.9494 10.4999 2.0867 2.9494 -10.4999" Properties=species:S:1:pos:R:3 pbc="T T T"
Mg 0.0000 0.0000 0.0000
Sc 0.0000 0.0000 4.2163
Sc 0.0000 0.0000 8.4206
Sc 0.0000 0.0000 12.5792
Sc 0.0000 0.0000 16.7835
Sb 2.0867 0.0000 2.1645
Sb 2.0867 0.0000 6.3118
Sb 0.0000 2.9494 0.0000
Sb 0.0000 2.9494 4.1881
Sb 0.0000 2.9494 8.3354
```

formation energy without anion corrections: -7.6 eV per formula unit
size of the total moment: 0.00 Bohr magnetons per cell
crystal system: orthorhombic
symmetry: Immm

Entry 13:
This record from Alexandria via LeMat-Bulk describes an optimized crystal structure of MgSc2Sb. The functional is PBE-GGA.

extended XYZ file:
```
4
Lattice="4.2166 0.0000 0.0000 0.0000 2.0303 5.5178 0.0000 -2.0303 5.5178" Properties=species:S:1:pos:R:3 pbc="T T T"
Mg 0.0000 0.0000 0.0000
Sc 0.0000 0.0000 8.0821
Sc 2.1083 0.0000 4.9289
Sb 2.1083 0.0000 1.9259
```

formation energy without anion corrections: -1.7 eV per formula unit
size of the total moment: 0.00 Bohr magnetons per cell
E above lowest polymorph: 0.0383 eV/atom
crystal system: orthorhombic
symmetry: Amm2

Entry 14:
This record from Alexandria via LeMat-Bulk describes an optimized crystal structure of MgSc2Sb. The functional is PBE-GGA.

extended XYZ file:
```
4
Lattice="4.4807 0.0000 0.0000 0.0000 4.4807 0.0000 0.0000 0.0000 4.4267" Properties=species:S:1:pos:R:3 pbc="T T T"
Mg 0.0000 0.0000 0.0000
Sc 0.0000 2.2404 2.2133
Sc 2.2404 0.0000 2.2133
Sb 2.2404 2.2404 0.0000
```

formation energy without anion corrections: -1.8 eV per formula unit
size of the total moment: 1.21 Bohr magnetons per cell
E above lowest polymorph: 0.0252 eV/atom
crystal system: tetragonal
symmetry: P4/mmm

| no. | Fermi-level density of states (states/eV/cell) |
| --- | --- |
| 1 | 8.039 |
| 2 | 11.868 |
| 3 | 3.433 |
| 4 | 6.707 |
| 5 | 3.794 |
| 6 | 3.084 |
| 7 | 2.614 |
| 8 | 3.015 |
| 9 | 12.295 |
| 10 | 9.587 |
| 11 | 2.276 |
| 12 | 3.218 |
| 13 | 3.150 |
| 14 | 2.763 |